! CoTeAs (GGA-PBE, relaxed); values from VASP
! total magnetic moment	0.000	μB per cell
! final energy	-4.82	eV per atom
! calculated volume	57.8	Å³/f.u.
! calculated density	7.51	Mg/m³
&SYSTEM
  ibrav = 0, nat = 3, ntyp = 3
/
ATOMIC_SPECIES
Co 58.93 Co.upf
Te 127.60 Te.upf
As 74.92 As.upf
CELL_PARAMETERS angstrom
-1.5227 1.5227 6.2354
1.5227 -1.5227 6.2354
1.5227 1.5227 -6.2354
ATOMIC_POSITIONS crystal
Co 0.0000 0.0000 0.0000
Te 0.6441 0.6441 0.0000
As 0.3954 0.3954 0.0000